# 1
## Fe2NiRu (PBE)

Data for a relaxed structure of Fe2NiRu.

Results
For the total magnetization, the calculation gives 6.60 μB/f.u. For the formation energy, the calculation gives 0.164 eV/atom.

Cell: 2.519 4.191 4.750 Å, 90.00 96.82 90.00°
Element x y z (fractional)
Fe1 0.230 0.000 0.254
Fe2 0.770 0.000 0.746
Ni1 0.000 0.500 0.500
Ru1 0.500 0.500 0.000



# 2
## Li3H2Pd (PBE)

Data for a relaxed structure of Li3H2Pd.

Results
The total energy comes out at -38.22 eV/cell. For the total magnetization, the calculation gives 0.00 μB/f.u.

Cell: 6.113 6.113 6.113 Å, 133.89 74.51 125.02°
Element x y z (fractional)
Li1 0.030 0.750 0.280
Li2 0.250 0.250 0.000
Li3 0.470 0.750 0.720
Li4 0.530 0.250 0.280
Li5 0.750 0.750 0.000
Li6 0.970 0.250 0.720
H1 0.133 0.245 0.377
H2 0.367 0.745 0.112
H3 0.633 0.255 0.888
H4 0.867 0.755 0.623
Pd1 0.000 0.500 0.500
Pd2 0.500 0.000 0.500



# 3
## Y4GeOs2 (PBE)

Data for a relaxed structure of Y4GeOs2.

Results
For the total magnetization, the calculation gives 0.00 μB/f.u. For the formation energy, the calculation gives 0.247 eV/atom.

Cell: 7.650 7.650 7.650 Å, 137.78 137.78 61.25°
Element x y z (fractional)
Y1 0.000 0.500 0.500
Y2 0.208 0.208 0.000
Y3 0.500 0.000 0.500
Y4 0.792 0.792 0.000
Ge1 0.000 0.000 0.000
Os1 0.410 0.410 0.000
Os2 0.590 0.590 0.000



# 4
## BeZnSn (PBE)

Data for a relaxed structure of BeZnSn.

Results
For the total magnetization, the calculation gives 0.00 μB/f.u. For the formation energy, the calculation gives 0.335 eV/atom.

Cell: 7.699 3.959 7.123 Å, 90.00 90.00 90.00°
Element x y z (fractional)
Be1 0.071 0.250 0.241
Be2 0.429 0.750 0.741
Be3 0.571 0.250 0.259
Be4 0.929 0.750 0.759
Zn1 0.064 0.250 0.914
Zn2 0.436 0.750 0.414
Zn3 0.564 0.250 0.586
Zn4 0.936 0.750 0.086
Sn1 0.176 0.250 0.568
Sn2 0.324 0.750 0.068
Sn3 0.676 0.250 0.932
Sn4 0.824 0.750 0.432



# 5
## PrPdPt (PBE)

Data for a relaxed structure of PrPdPt.

Results
For the total magnetization, the calculation gives 0.00 μB/f.u. For the formation energy, the calculation gives -0.690 eV/atom.

Cell: 5.303 5.303 5.303 Å, 139.08 139.08 59.25°
Element x y z (fractional)
Pr1 0.000 0.000 0.000
Pd1 0.324 0.324 0.000
Pt1 0.666 0.666 0.000



# 6
## Cd9SnHg2 (PBE)

Data for a relaxed structure of Cd9SnHg2.

Results
For the total magnetization, the calculation gives 0.00 μB/f.u. For the formation energy, the calculation gives 0.036 eV/atom.

Cell: 4.551 4.551 13.478 Å, 90.00 90.00 90.00°
Element x y z (fractional)
Cd1 0.000 0.000 0.000
Cd2 0.000 0.000 0.334
Cd3 0.000 0.000 0.666
Cd4 0.000 0.500 0.171
Cd5 0.000 0.500 0.500
Cd6 0.000 0.500 0.829
Cd7 0.500 0.000 0.171
Cd8 0.500 0.000 0.500
Cd9 0.500 0.000 0.829
Sn1 0.500 0.500 0.000
Hg1 0.500 0.500 0.336
Hg2 0.500 0.500 0.664



# 7
## NaSrIn2Te4 (PBE)

Data for a relaxed structure of NaSrIn2Te4.

Results
The calculation puts the uncorrected formation energy at -0.5941 eV per atom. For the total magnetization, the calculation gives 0.00 μB/f.u.

Cell: 7.229 7.229 7.229 Å, 118.79 108.19 101.90°
Element x y z (fractional)
Na1 0.000 0.000 0.000
Sr1 0.500 0.500 0.000
In1 0.159 0.659 0.500
In2 0.841 0.341 0.500
Te1 0.007 0.421 0.976
Te2 0.445 0.031 0.024
Te3 0.555 0.579 0.585
Te4 0.993 0.969 0.415



# 8
## TbErCuAg (PBE)

Data for a relaxed structure of TbErCuAg.

Results
For the total magnetization, the calculation gives 0.00 μB/f.u. For the formation energy, the calculation gives -0.289 eV/atom.

Cell: 3.530 3.530 7.153 Å, 90.00 90.00 90.00°
Element x y z (fractional)
Tb1 0.000 0.000 0.000
Er1 0.000 0.000 0.528
Cu1 0.500 0.500 0.757
Ag1 0.500 0.500 0.271



# 9
## Rb2In15Hg2 (PBE)

Data for a relaxed structure of Rb2In15Hg2.

Results
For the total magnetization, the calculation gives 0.00 μB/f.u. For the formation energy, the calculation gives -0.026 eV/atom.

Cell: 8.368 8.368 8.368 Å, 81.63 81.63 81.63°
Element x y z (fractional)
Rb1 0.166 0.166 0.166
Rb2 0.834 0.834 0.834
In1 0.000 0.500 0.500
In2 0.146 0.146 0.652
In3 0.146 0.652 0.146
In4 0.209 0.500 0.791
In5 0.209 0.791 0.500
In6 0.348 0.854 0.854
In7 0.500 0.000 0.500
In8 0.500 0.209 0.791
In9 0.500 0.500 0.000
In10 0.500 0.791 0.209
In11 0.652 0.146 0.146
In12 0.791 0.209 0.500
In13 0.791 0.500 0.209
In14 0.854 0.348 0.854
In15 0.854 0.854 0.348
Hg1 0.401 0.401 0.401
Hg2 0.599 0.599 0.599



# 10
## K2CdHg2 (PBE)

Data for a relaxed structure of K2CdHg2.

Results
For the total magnetization, the calculation gives 0.00 μB/f.u. For the formation energy, the calculation gives -0.113 eV/atom.

Cell: 6.520 6.520 6.520 Å, 117.34 117.34 94.67°
Element x y z (fractional)
K1 0.250 0.750 0.500
K2 0.750 0.250 0.500
Cd1 0.000 0.000 0.000
Hg1 0.336 0.336 0.000
Hg2 0.664 0.664 0.000



# 11
## Cs3TaHg (PBE)

Data for a relaxed structure of Cs3TaHg.

Results
For the total magnetization, the calculation gives 5.96 μB/f.u. For the formation energy, the calculation gives 1.152 eV/atom.

Cell: 7.286 7.286 7.286 Å, 90.00 90.00 90.00°
Element x y z (fractional)
Cs1 0.000 0.000 0.500
Cs2 0.000 0.500 0.000
Cs3 0.500 0.000 0.000
Ta1 0.000 0.000 0.000
Hg1 0.500 0.500 0.500



# 12
## TbHo3Os (PBE)

Data for a relaxed structure of TbHo3Os.

Results
For the total magnetization, the calculation gives 0.00 μB/f.u. For the formation energy, the calculation gives 0.019 eV/atom.

Cell: 5.401 5.401 5.401 Å, 90.00 90.00 90.00°
Element x y z (fractional)
Tb1 0.000 0.000 0.000
Ho1 0.000 0.500 0.500
Ho2 0.500 0.000 0.500
Ho3 0.500 0.500 0.000
Os1 0.500 0.500 0.500



# 13
## Sc3MnW (PBE)

Data for a relaxed structure of Sc3MnW.

Results
For the total magnetization, the calculation gives 0.00 μB/f.u. For the formation energy, the calculation gives 0.854 eV/atom.

Cell: 4.659 4.659 4.659 Å, 90.00 90.00 90.00°
Element x y z (fractional)
Sc1 0.000 0.000 0.500
Sc2 0.000 0.500 0.000
Sc3 0.500 0.000 0.000
Mn1 0.000 0.000 0.000
W1 0.500 0.500 0.500



# 14
## LaTlSb2Te (PBE)

Data for a relaxed structure of LaTlSb2Te.

Results
The calculation puts the uncorrected formation energy at 0.1678 eV per atom. For the total magnetization, the calculation gives 0.00 μB/f.u.

Cell: 5.610 5.610 5.749 Å, 90.00 90.00 90.00°
Element x y z (fractional)
La1 0.000 0.000 0.000
Tl1 0.500 0.500 0.500
Sb1 0.000 0.500 0.500
Sb2 0.500 0.000 0.500
Te1 0.500 0.500 0.000



# 15
## YErMg5 (PBE)

Data for a relaxed structure of YErMg5.

Results
For the total magnetization, the calculation gives 0.00 μB/f.u. For the formation energy, the calculation gives 0.192 eV/atom.

Cell: 5.785 5.785 6.468 Å, 90.00 90.00 112.79°
Element x y z (fractional)
Y1 0.000 0.000 0.000
Er1 0.500 0.500 0.500
Mg1 0.000 0.000 0.500
Mg2 0.000 0.500 0.252
Mg3 0.000 0.500 0.748
Mg4 0.500 0.000 0.252
Mg5 0.500 0.000 0.748



# 16
## SrDyMgSn (PBE)

Data for a relaxed structure of SrDyMgSn.

Results
For the total magnetization, the calculation gives 0.00 μB/f.u. For the formation energy, the calculation gives -0.319 eV/atom.

Cell: 5.506 5.506 5.506 Å, 60.00 60.00 60.00°
Element x y z (fractional)
Sr1 0.000 0.000 0.000
Dy1 0.500 0.500 0.500
Mg1 0.750 0.750 0.750
Sn1 0.250 0.250 0.250



# 17
## InNiSe2 (PBE)

Data for a relaxed structure of InNiSe2.

Results
The calculation puts the uncorrected formation energy at 0.0998 eV per atom. For the total magnetization, the calculation gives 0.00 μB/f.u.

Cell: 3.153 3.153 8.102 Å, 90.00 90.00 90.00°
Element x y z (fractional)
In1 0.000 0.000 0.000
Ni1 0.000 0.000 0.500
Se1 0.500 0.500 0.323
Se2 0.500 0.500 0.677



# 18
## Nd6P2CBr3 (PBE)

Data for a relaxed structure of Nd6P2CBr3.

Results
The calculation puts the uncorrected formation energy at -1.2953 eV per atom. For the total magnetization, the calculation gives 0.00 μB/f.u.

Cell: 9.646 9.646 8.773 Å, 108.26 108.26 24.16°
Element x y z (fractional)
Nd1 0.007 0.007 0.200
Nd2 0.324 0.324 0.446
Nd3 0.357 0.357 0.906
Nd4 0.643 0.643 0.094
Nd5 0.676 0.676 0.554
Nd6 0.993 0.993 0.800
P1 0.165 0.165 0.327
P2 0.835 0.835 0.673
C1 0.500 0.500 0.000
Br1 0.167 0.167 0.833
Br2 0.500 0.500 0.500
Br3 0.833 0.833 0.167



# 19
## CsYIn2 (PBE)

Data for a relaxed structure of CsYIn2.

Results
For the total magnetization, the calculation gives 0.00 μB/f.u. For the formation energy, the calculation gives 0.147 eV/atom.

Cell: 5.820 5.820 5.820 Å, 60.00 60.00 60.00°
Element x y z (fractional)
Cs1 0.000 0.000 0.000
Y1 0.500 0.500 0.500
In1 0.250 0.250 0.250
In2 0.750 0.750 0.750



# 20
## IrPtRh4 (PBE)

Data for a relaxed structure of IrPtRh4.

Results
For the total magnetization, the calculation gives 0.00 μB/f.u. For the formation energy, the calculation gives 0.180 eV/atom.

Cell: 4.546 5.407 7.351 Å, 90.00 90.00 90.00°
Element x y z (fractional)
Ir1 0.250 0.250 0.085
Ir2 0.750 0.750 0.915
Pt1 0.250 0.250 0.720
Pt2 0.750 0.750 0.280
Rh1 0.250 0.002 0.391
Rh2 0.250 0.498 0.391
Rh3 0.250 0.750 0.075
Rh4 0.250 0.750 0.712
Rh5 0.750 0.250 0.288
Rh6 0.750 0.250 0.925
Rh7 0.750 0.502 0.609
Rh8 0.750 0.998 0.609



# 21
## CePmBr2 (PBE)

Data for a relaxed structure of CePmBr2.

Results
The calculation puts the uncorrected formation energy at -1.0136 eV per atom. For the total magnetization, the calculation gives 1.85 μB/f.u.

Cell: 10.609 10.609 10.609 Å, 19.98 19.98 19.98°
Element x y z (fractional)
Ce1 0.000 0.000 0.000
Pm1 0.500 0.500 0.500
Br1 0.098 0.098 0.098
Br2 0.902 0.902 0.902



# 22
## CoMoSe2 (PBE)

Data for a relaxed structure of CoMoSe2.

Results
The calculation puts the uncorrected formation energy at 0.5083 eV per atom. For the total magnetization, the calculation gives 1.78 μB/f.u.

Cell: 3.176 3.176 7.677 Å, 90.00 90.00 119.20°
Element x y z (fractional)
Co1 0.000 0.000 0.000
Mo1 0.000 0.000 0.500
Se1 0.500 0.500 0.239
Se2 0.500 0.500 0.761



# 23
## Ho2HfBr (PBE)

Data for a relaxed structure of Ho2HfBr.

Results
The calculation puts the uncorrected formation energy at -0.0347 eV per atom. For the total magnetization, the calculation gives 0.00 μB/f.u.

Cell: 11.284 11.284 11.284 Å, 16.93 16.93 16.93°
Element x y z (fractional)
Ho1 0.095 0.095 0.095
Ho2 0.905 0.905 0.905
Hf1 0.000 0.000 0.000
Br1 0.500 0.500 0.500



# 24
## TmPuThTl (PBE)

Data for a relaxed structure of TmPuThTl.

Results
For the total magnetization, the calculation gives 6.52 μB/f.u. For the formation energy, the calculation gives 0.152 eV/atom.

Cell: 5.400 5.400 5.400 Å, 60.00 60.00 60.00°
Element x y z (fractional)
Tm1 0.000 0.000 0.000
Pu1 0.500 0.500 0.500
Th1 0.250 0.250 0.250
Tl1 0.750 0.750 0.750



# 25
## Nd3ZnCu3 (PBE)

Data for a relaxed structure of Nd3ZnCu3.

Results
For the total magnetization, the calculation gives 0.00 μB/f.u. For the formation energy, the calculation gives -0.209 eV/atom.

Cell: 5.653 5.653 13.732 Å, 90.00 90.00 135.39°
Element x y z (fractional)
Nd1 0.005 0.995 0.750
Nd2 0.289 0.711 0.602
Nd3 0.289 0.711 0.898
Nd4 0.711 0.289 0.102
Nd5 0.711 0.289 0.398
Nd6 0.995 0.005 0.250
Zn1 0.000 0.000 0.000
Zn2 0.000 0.000 0.500
Cu1 0.293 0.707 0.250
Cu2 0.425 0.575 0.090
Cu3 0.425 0.575 0.410
Cu4 0.575 0.425 0.590
Cu5 0.575 0.425 0.910
Cu6 0.707 0.293 0.750



# 26
## PrZnPtAu (PBE)

Data for a relaxed structure of PrZnPtAu.

Results
For the total magnetization, the calculation gives 0.00 μB/f.u. For the formation energy, the calculation gives -0.607 eV/atom.

Cell: 4.912 4.912 4.912 Å, 60.00 60.00 60.00°
Element x y z (fractional)
Pr1 0.000 0.000 0.000
Zn1 0.500 0.500 0.500
Pt1 0.250 0.250 0.250
Au1 0.750 0.750 0.750